[1]
This record from the Alexandria database describes MgCdSe2 after structural relaxation. The functional is PBE.

Its final energy is -51.45 eV for the cell shown. Its crystal system is tetragonal. The energy relative to the elements, uncorrected is -0.846 eV per atom. For the size of the total moment, the calculation gives 0.0 Bohr magnetons per cell.

It has space group I4_1/amd (No. 141, origin choice 2), with a = 5.630 Å, b = 5.630 Å, c = 11.303 Å, α = 90.00°, β = 90.00° and γ = 90.00°. The distinct sites, in fractional coordinates, are Mg at (0.000, 0.250, 0.375), Cd at (0.000, 0.250, 0.875) and Se at (0.000, 0.250, 0.132).


[2]
This record from the Alexandria database describes MgCd2Se after structural relaxation. The functional is PBE.

Its final energy is -24.85 eV for the cell shown. Its crystal system is trigonal. The energy relative to the elements, uncorrected is -0.344 eV per atom. For the size of the total moment, the calculation gives 0.0 Bohr magnetons per cell.

It has space group R3m (No. 160, hexagonal axes), with a = 3.8902 Å, b = 3.8902 Å, c = 22.8709 Å, α = 90.00°, β = 90.00° and γ = 120.00°. The distinct sites, in fractional coordinates, are Mg at (0.0000, 0.0000, 0.0000), Cd at (0.0000, 0.0000, 0.2360), Cd at (0.0000, 0.0000, 0.4786) and Se at (0.0000, 0.0000, 0.7263).


[3]
This record from the Alexandria database describes Mg2Cd2Se after structural relaxation. The functional is PBE.

Its final energy is -19.19 eV for the cell shown. Its crystal system is tetragonal. The energy relative to the elements, uncorrected is -0.218 eV per atom. For the size of the total moment, the calculation gives 0.0 Bohr magnetons per cell.

It has space group P4/mbm (No. 127), with a = 7.102 Å, b = 7.102 Å, c = 4.801 Å, α = 90.00°, β = 90.00° and γ = 90.00°. The distinct sites, in fractional coordinates, are Mg at (0.157, 0.343, 0.000), Cd at (0.150, 0.650, 0.500) and Se at (0.000, 0.000, 0.000).


[4]
This record from the Alexandria database describes MgCd2Se after structural relaxation. The functional is PBE.

Its final energy is -15.59 eV for the cell shown. Its crystal system is orthorhombic. The energy relative to the elements, uncorrected is -0.222 eV per atom. For the size of the total moment, the calculation gives 0.0 Bohr magnetons per cell.

It has space group Cmmm (No. 65), with a = 5.462 Å, b = 8.803 Å, c = 3.931 Å, α = 90.00°, β = 90.00° and γ = 90.00°. The distinct sites, in fractional coordinates, are Mg at (0.000, 0.000, 0.000), Cd at (0.250, 0.250, 0.500) and Se at (0.000, 0.500, 0.000).


[5]
This record from the Alexandria database describes MgCd2Se after structural relaxation. The functional is PBE.

Its final energy is -8.24 eV for the cell shown. Its crystal system is tetragonal. The energy relative to the elements, uncorrected is -0.334 eV per atom. For the size of the total moment, the calculation gives 0.0 Bohr magnetons per cell.

It has space group P4mm (No. 99), with a = 3.663 Å, b = 3.663 Å, c = 7.994 Å, α = 90.00°, β = 90.00° and γ = 90.00°. The distinct sites, in fractional coordinates, are Mg at (0.000, 0.000, 0.000), Cd at (0.000, 0.000, 0.367), Cd at (0.500, 0.500, 0.570) and Se at (0.500, 0.500, 0.920).


[6]
This record from the Alexandria database describes MgCdSe2 after structural relaxation. The functional is PBE.

Its final energy is -45.72 eV for the cell shown. Its crystal system is orthorhombic. The energy relative to the elements, uncorrected is -0.488 eV per atom. For the size of the total moment, the calculation gives 0.0 Bohr magnetons per cell.

It has space group Cmcm (No. 63), with a = 3.763 Å, b = 20.498 Å, c = 5.272 Å, α = 90.00°, β = 90.00° and γ = 90.00°. The distinct sites, in fractional coordinates, are Mg at (0.000, 0.178, 0.250), Cd at (0.000, 0.438, 0.250), Se at (0.000, 0.304, 0.250) and Se at (0.000, 0.421, 0.750).


[7]
This record from the Alexandria database describes MgCdSe2 after structural relaxation. The functional is PBE.

Its final energy is -203.98 eV for the cell shown. Its crystal system is monoclinic. The energy relative to the elements, uncorrected is -0.818 eV per atom. For the size of the total moment, the calculation gives 0.0 Bohr magnetons per cell.

It has space group C2/c (No. 15), with a = 9.564 Å, b = 13.049 Å, c = 13.040 Å, α = 90.00°, β = 95.93° and γ = 90.00°. The distinct sites, in fractional coordinates, are Mg at (0.012, 0.087, 0.103), Mg at (0.200, 0.346, 0.377), Cd at (0.137, 0.417, 0.651), Cd at (0.155, 0.180, 0.880), Se at (0.000, 0.054, 0.750), Se at (0.000, 0.448, 0.250), Se at (0.062, 0.253, 0.524), Se at (0.190, 0.204, 0.227) and Se at (0.217, 0.007, 0.998).


[8]
This record from the Alexandria database describes MgCd2Se after structural relaxation. The functional is PBE.

Its final energy is -16.17 eV for the cell shown. Its crystal system is tetragonal. The energy relative to the elements, uncorrected is -0.294 eV per atom. For the size of the total moment, the calculation gives 0.0 Bohr magnetons per cell.

It has space group I4/mmm (No. 139), with a = 3.954 Å, b = 3.954 Å, c = 12.376 Å, α = 90.00°, β = 90.00° and γ = 90.00°. The distinct sites, in fractional coordinates, are Mg at (0.000, 0.000, 0.000), Cd at (0.000, 0.500, 0.250) and Se at (0.000, 0.000, 0.500).


[9]
This record from the Alexandria database describes MgCdSe2 after structural relaxation. The functional is PBE.

Its final energy is -26.47 eV for the cell shown. Its crystal system is monoclinic. The energy relative to the elements, uncorrected is -0.939 eV per atom. For the size of the total moment, the calculation gives 0.0 Bohr magnetons per cell.

It has space group Cm (No. 8), with a = 7.465 Å, b = 4.317 Å, c = 7.455 Å, α = 90.00°, β = 109.37° and γ = 90.00°. The distinct sites, in fractional coordinates, are Mg at (0.000, 0.000, 0.000), Cd at (0.002, 0.500, 0.506), Se at (0.123, 0.000, 0.369) and Se at (0.129, 0.500, 0.887).


[10]
This record from the Alexandria database describes MgCdSe2 after structural relaxation. The functional is PBE.

Its final energy is -43.47 eV for the cell shown. Its crystal system is cubic. The energy relative to the elements, uncorrected is -0.347 eV per atom. For the size of the total moment, the calculation gives 0.0 Bohr magnetons per cell.

It has space group Fm-3m (No. 225), with a = 7.010 Å, b = 7.010 Å, c = 7.010 Å, α = 90.00°, β = 90.00° and γ = 90.00°. The distinct sites, in fractional coordinates, are Mg at (0.000, 0.000, 0.000), Cd at (0.000, 0.000, 0.500) and Se at (0.250, 0.250, 0.250).


[11]
This record from the Alexandria database describes MgCdSe2 after structural relaxation. The functional is PBE.

Its final energy is -45.66 eV for the cell shown. Its crystal system is orthorhombic. The energy relative to the elements, uncorrected is -0.484 eV per atom. For the size of the total moment, the calculation gives 0.0 Bohr magnetons per cell.

It has space group Cmcm (No. 63), with a = 3.984 Å, b = 20.341 Å, c = 5.094 Å, α = 90.00°, β = 90.00° and γ = 90.00°. The distinct sites, in fractional coordinates, are Mg at (0.000, 0.065, 0.250), Cd at (0.000, 0.324, 0.250), Se at (0.000, 0.066, 0.750) and Se at (0.000, 0.192, 0.250).


[12]
This record from the Alexandria database describes MgCdSe2 after structural relaxation. The functional is PBE.

Its final energy is -25.88 eV for the cell shown. Its crystal system is triclinic. The energy relative to the elements, uncorrected is -0.865 eV per atom. For the size of the total moment, the calculation gives 0.0 Bohr magnetons per cell.

It has space group P1 (No. 1), with a = 3.961 Å, b = 6.492 Å, c = 8.167 Å, α = 89.99°, β = 88.30° and γ = 90.00°. The distinct sites, in fractional coordinates, are Mg at (0.000, 0.000, 0.000), Mg at (0.474, 0.500, 0.194), Cd at (0.481, 0.103, 0.476), Cd at (0.989, 0.603, 0.717), Se at (0.484, 0.896, 0.754), Se at (0.490, 0.899, 0.196), Se at (0.985, 0.399, 0.998) and Se at (0.987, 0.397, 0.440).